This record from the Alexandria database describes a relaxed structure of CaMgZn. The functional is GGA-PBEsol.

The space group is Cmcm (No. 63) and the conventional cell measures 4.4725, 10.8315 and 5.9371 Å, with angles of 90.00, 90.00 and 90.00 degrees. The asymmetric unit holds Ca at (0.0000, 0.2048, 0.2500), Mg at (0.0000, 0.5000, 0.0000) and Zn at (0.0000, 0.0889, 0.7500).

The total magnetization comes out at 0.00 μB per cell. As for the density of states at the Fermi level: 0.63 states/eV per atom. The density comes out at 2.997 g cm⁻³. The value obtained for the formation energy from the elements is -0.178 eV per atom.